PaMnP2N6 (PBE, relaxed); electronic total energy = -173.5 eV for the cell shown; uncorrected formation energy = -0.73 eV/atom
1.0
5.029 0.870 0.903
2.614 6.961 0.962
2.614 0.704 6.992
N Mn P Pa
12 2 4 2
Direct
0.272 0.326 0.381 N
0.593 0.796 0.972 N
0.907 0.028 0.204 N
0.728 0.674 0.619 N
0.596 0.117 0.621 N
0.904 0.379 0.883 N
0.228 0.619 0.674 N
0.772 0.381 0.326 N
0.404 0.883 0.379 N
0.096 0.621 0.117 N
0.093 0.972 0.796 N
0.407 0.204 0.028 N
0.750 0.912 0.088 Mn
0.250 0.088 0.912 Mn
0.644 0.197 0.382 P
0.856 0.618 0.803 P
0.144 0.382 0.197 P
0.356 0.803 0.618 P
0.750 0.299 0.701 Pa
0.250 0.701 0.299 Pa

PmMnP2N6 (PBE, relaxed); electronic total energy = -160.4 eV for the cell shown; uncorrected formation energy = -0.55 eV/atom
1.0
5.115 0.913 0.948
2.652 6.965 0.912
2.652 0.653 6.994
N Pm P Mn
12 2 4 2
Direct
0.777 0.365 0.336 N
0.593 0.814 0.969 N
0.574 0.106 0.613 N
0.723 0.664 0.635 N
0.407 0.186 0.031 N
0.223 0.635 0.664 N
0.277 0.336 0.365 N
0.926 0.387 0.894 N
0.093 0.969 0.814 N
0.907 0.031 0.186 N
0.426 0.894 0.387 N
0.074 0.613 0.106 N
0.750 0.309 0.691 Pm
0.250 0.691 0.309 Pm
0.864 0.628 0.803 P
0.136 0.372 0.197 P
0.636 0.197 0.372 P
0.364 0.803 0.628 P
0.750 0.896 0.104 Mn
0.250 0.104 0.896 Mn

Pm2MnP2N6 (PBE, relaxed); electronic total energy = -87.7 eV for the cell shown; uncorrected formation energy = -0.75 eV/atom
1.0
5.417 0.000 0.000
2.709 4.692 0.000
2.709 1.564 5.201
N P Pm Mn
6 2 2 1
Direct
0.245 0.756 0.244 N
0.756 0.756 0.244 N
0.756 0.245 0.244 N
0.244 0.755 0.756 N
0.244 0.244 0.756 N
0.755 0.244 0.756 N
0.432 0.432 0.704 P
0.568 0.568 0.296 P
0.218 0.218 0.347 Pm
0.782 0.782 0.653 Pm
0.000 0.000 0.000 Mn